1.
La2YRh: PBEsol geometry, SCAN.

Its volume is 110.9 Å³/f.u. For the offset from the most stable computed form, the calculation gives 0.0370 eV/atom. Its total energy is -149.46 eV/f.u. For the formation energy, the calculation gives -0.408 eV per atom.

Cell: 11.9911 3.6890 5.6242 Å, 90.00 116.89 90.00°
Space group Cm (No. 8)
Symmetry-distinct sites (fractional):
La 0.0000 0.0000 0.0000 [2 per cell]
La 0.1970 0.0000 0.6959 [2 per cell]
Y 0.3905 0.0000 0.3879 [2 per cell]
Rh 0.1970 0.5000 0.2381 [2 per cell]

---

2.
LaZn2Rh: PBEsol geometry, SCAN.

Its volume is 71.3 Å³/f.u. Its total energy is -105.32 eV/f.u. For the formation energy, the calculation gives -0.354 eV per atom.

Cell: 3.1706 3.1706 7.0968 Å, 90.00 90.00 90.00°
Space group P4/mmm (No. 123)
Symmetry-distinct sites (fractional):
La 0.0000 0.0000 0.0000 [1 per cell]
Zn 0.5000 0.5000 0.3162 [2 per cell]
Rh 0.0000 0.0000 0.5000 [1 per cell]

---

3.
LaZn2Rh: PBEsol geometry, SCAN.

Its volume is 79.4 Å³/f.u. Its total energy is -106.09 eV/f.u. For the formation energy, the calculation gives -0.546 eV per atom.

Cell: 4.3298 4.3298 14.6782 Å, 90.00 90.00 120.00°
Space group R3m (No. 160, hexagonal axes)
Symmetry-distinct sites (fractional):
La 0.0000 0.0000 0.0000 [3 per cell]
Zn 0.0000 0.0000 0.5178 [3 per cell]
Zn 0.0000 0.0000 0.7984 [3 per cell]
Rh 0.0000 0.0000 0.2010 [3 per cell]

---

4.
LaZr2Rh: PBEsol geometry, SCAN.

Its volume is 86.1 Å³/f.u. For the offset from the most stable computed form, the calculation gives 0.0202 eV/atom. Its total energy is -139.61 eV/f.u. For the formation energy, the calculation gives -0.333 eV per atom.

Cell: 3.3201 3.3201 7.8094 Å, 90.00 90.00 90.00°
Space group P4/mmm (No. 123)
Symmetry-distinct sites (fractional):
La 0.0000 0.0000 0.0000 [1 per cell]
Zr 0.5000 0.5000 0.3028 [2 per cell]
Rh 0.0000 0.0000 0.5000 [1 per cell]

---

5.
LaZrRh: PBEsol geometry, SCAN.

Its volume is 74.8 Å³/f.u. For the offset from the most stable computed form, the calculation gives 0.0000 eV/atom. Its total energy is -108.59 eV/f.u. For the formation energy, the calculation gives -0.339 eV per atom.

Cell: 3.7740 3.7740 6.0631 Å, 90.00 90.00 120.00°
Space group P3m1 (No. 156)
Symmetry-distinct sites (fractional):
La 0.0000 0.0000 0.0000 [1 per cell]
Zr 0.6667 0.3333 0.4671 [1 per cell]
Rh 0.3333 0.6667 0.6997 [1 per cell]

---

6.
La2ZrRh: PBEsol geometry, SCAN.

Its volume is 95.6 Å³/f.u. For the offset from the most stable computed form, the calculation gives 0.3576 eV/atom. Its total energy is -150.63 eV/f.u. For the formation energy, the calculation gives 0.014 eV per atom.

Cell: 7.2592 7.2592 7.2592 Å, 90.00 90.00 90.00°
Space group Fm-3m (No. 225)
Symmetry-distinct sites (fractional):
La 0.2500 0.2500 0.2500 [8 per cell]
Zr 0.0000 0.0000 0.0000 [4 per cell]
Rh 0.0000 0.0000 0.5000 [4 per cell]